Record 1
This record from Alexandria describes a geometry-optimized Nd2Th2Pt15 structure. The functional is PBE.

The uncorrected energy comes out at -6.7652 eV/atom. The formation energy comes out at -0.713 eV per atom.

The structure belongs to space group R-3m (No. 166, hexagonal axes); the cell edges are 9.4361, 9.4361 and 14.0585 Å and the angles 90.00°, 90.00° and 120.00°. Symmetry generates all atoms from Nd at (0.0000, 0.0000, 0.1371), Th at (0.0000, 0.0000, 0.3912), Pt at (0.0000, 0.3131, 0.5000), Pt at (0.0000, 0.5000, 0.0000) and Pt at (0.0067, 0.5033, 0.6552).

Record 2
This record from Alexandria describes a geometry-optimized AcNpSe3 structure. The functional is PBE.

The polymorph energy (0 for the lowest one) is 1.22 eV/f.u. The uncorrected energy comes out at -6.8381 eV/atom. The calculation puts the formation energy from raw total energies at -6.69 eV per formula unit.

The structure belongs to space group Imma (No. 74); the cell edges are 5.751, 12.265 and 8.712 Å and the angles 90.00°, 90.00° and 90.00°. Symmetry generates all atoms from Ac at (0.000, 0.000, 0.000), Np at (0.000, 0.250, 0.445), Se at (0.000, 0.082, 0.651) and Se at (0.000, 0.250, 0.105).

Record 3
This record from Alexandria describes a geometry-optimized Tb12Cu6Au structure. The functional is PBE.

The uncorrected energy comes out at -4.4515 eV/atom. The formation energy comes out at -0.061 eV per atom.

The structure belongs to space group R-3 (No. 148, hexagonal axes); the cell edges are 13.8310, 13.8310 and 8.7597 Å and the angles 90.00°, 90.00° and 120.00°. Symmetry generates all atoms from Tb at (0.0418, 0.1772, 0.3326), Tb at (0.0608, 0.2502, 0.9407), Cu at (0.0445, 0.2628, 0.6177) and Au at (0.0000, 0.0000, 0.0000).

Record 4
This record from Alexandria describes a geometry-optimized Sr3Si2Ge3 structure. The functional is PBE.

The polymorph energy (0 for the lowest one) is 0.18 eV/f.u. The uncorrected energy comes out at -4.0898 eV/atom. The calculation puts the formation energy from raw total energies at -2.97 eV per formula unit.

The structure belongs to space group Cmcm (No. 63); the cell edges are 4.646, 11.853 and 14.654 Å and the angles 90.00°, 90.00° and 90.00°. Symmetry generates all atoms from Sr at (0.000, 0.068, 0.111), Sr at (0.000, 0.352, 0.250), Si at (0.000, 0.219, 0.610), Ge at (0.000, 0.337, 0.036) and Ge at (0.000, 0.358, 0.750).

Record 5
This record from Alexandria describes a geometry-optimized Cd7Ag2Hg3 structure. The functional is PBE.

The uncorrected energy comes out at -1.0299 eV/atom. The formation energy comes out at 0.055 eV per atom.

The structure belongs to space group Cmmm (No. 65); the cell edges are 3.782, 31.836 and 4.722 Å and the angles 90.00°, 90.00° and 90.00°. Symmetry generates all atoms from Cd at (0.000, 0.000, 0.000), Cd at (0.000, 0.076, 0.500), Cd at (0.000, 0.213, 0.500), Cd at (0.000, 0.410, 0.000), Ag at (0.000, 0.357, 0.500), Hg at (0.000, 0.302, 0.000) and Hg at (0.000, 0.500, 0.500).

Record 6
This record from Alexandria describes a geometry-optimized SrIn2Hg2 structure. The functional is PBE.

The uncorrected energy comes out at -1.7428 eV/atom. The formation energy comes out at -0.190 eV per atom.

The structure belongs to space group P4/mbm (No. 127); the cell edges are 8.725, 8.725 and 3.752 Å and the angles 90.00°, 90.00° and 90.00°. Symmetry generates all atoms from Sr at (0.000, 0.000, 0.000), In at (0.125, 0.375, 0.000) and Hg at (0.171, 0.671, 0.500).

Record 7
This record from Alexandria describes a geometry-optimized CsTe2Br2 structure. The functional is PBE.

The polymorph energy (0 for the lowest one) is 1.59 eV/f.u. The uncorrected energy comes out at -2.3119 eV/atom. The calculation puts the formation energy from raw total energies at -1.08 eV per formula unit.

The structure belongs to space group P4/mbm (No. 127); the cell edges are 10.166, 10.166 and 3.473 Å and the angles 90.00°, 90.00° and 90.00°. Symmetry generates all atoms from Cs at (0.000, 0.000, 0.000), Te at (0.206, 0.294, 0.500) and Br at (0.129, 0.629, 0.000).

Record 8
This record from Alexandria describes a geometry-optimized CaAc2Ni6 structure. The functional is PBE.

The uncorrected energy comes out at -5.2073 eV/atom. The formation energy comes out at -0.218 eV per atom.

The structure belongs to space group P6/mmm (No. 191); the cell edges are 7.0417, 7.0417 and 4.1994 Å and the angles 90.00°, 90.00° and 120.00°. Symmetry generates all atoms from Ca at (0.0000, 0.0000, 0.0000), Ac at (0.3333, 0.6667, 0.0000) and Ni at (0.0000, 0.3320, 0.5000).

Record 9
This record from Alexandria describes a geometry-optimized Pr4IrOs structure. The functional is PBE.

The uncorrected energy comes out at -6.8184 eV/atom. The formation energy comes out at -0.284 eV per atom.

The structure belongs to space group C2/c (No. 15); the cell edges are 9.243, 13.565 and 6.488 Å and the angles 90.00°, 123.77° and 90.00°. Symmetry generates all atoms from Pr at (0.131, 0.175, 0.098), Pr at (0.196, 0.435, 0.266), Ir at (0.000, 0.363, 0.750) and Os at (0.000, 0.003, 0.750).

Record 10
This record from Alexandria describes a geometry-optimized NaTl2In2F6 structure. The functional is PBE.

The uncorrected energy comes out at -4.0679 eV/atom. The calculation puts the formation energy from raw total energies at -21.99 eV per formula unit.

The structure belongs to space group C2/m (No. 12); the cell edges are 10.149, 6.213 and 7.877 Å and the angles 90.00°, 114.85° and 90.00°. Symmetry generates all atoms from Na at (0.000, 0.000, 0.000), Tl at (0.213, 0.000, 0.692), In at (0.077, 0.500, 0.708), F at (0.054, 0.266, 0.233) and F at (0.243, 0.000, 0.026).

Record 11
This record from Alexandria describes a geometry-optimized NaGa2W structure. The functional is PBE.

The polymorph energy (0 for the lowest one) is 0.00 eV/f.u. The uncorrected energy comes out at -4.5541 eV/atom. The formation energy comes out at 0.527 eV per atom.

The structure belongs to space group Fm-3m (No. 225); the cell edges are 6.499, 6.499 and 6.499 Å and the angles 90.00°, 90.00° and 90.00°. Symmetry generates all atoms from Na at (0.000, 0.000, 0.000), Ga at (0.250, 0.250, 0.250) and W at (0.000, 0.000, 0.500).

Record 12
This record from Alexandria describes a geometry-optimized Mg2AlOs structure. The functional is PBE.

The uncorrected energy comes out at -4.3278 eV/atom. The formation energy comes out at 0.213 eV per atom.

The structure belongs to space group Cmmm (No. 65); the cell edges are 3.165, 4.654 and 9.195 Å and the angles 90.00°, 90.00° and 90.00°. Symmetry generates all atoms from Mg at (0.000, 0.000, 0.233), Al at (0.000, 0.500, 0.500) and Os at (0.000, 0.500, 0.000).

| no. | size of the total moment (μB/f.u.) | V (Å³/cell) |
| --- | --- | --- |
| 1 | 0.00 | 1084.06 |
| 2 | 3.97 | 614.51 |
| 3 | 0.00 | 1451.20 |
| 4 | 0.00 | 806.92 |
| 5 | 0.00 | 568.46 |
| 6 | 0.00 | 285.68 |
| 7 | 0.00 | 358.96 |
| 8 | 0.00 | 180.33 |
| 9 | 0.00 | 676.20 |
| 10 | 0.00 | 450.72 |
| 11 | 1.28 | 274.55 |
| 12 | 0.00 | 135.48 |